Record 1
# AcInSb2

A geometry-optimized AcInSb2 structure (PBE, Alexandria via LeMat-Bulk).

Cell lengths 4.6536, 4.6536, 21.8436 Å; angles 90.00, 90.00, 120.00 degrees
Space group R-3m (No. 166, hexagonal axes)
Unique sites:
Ac: 0.0000 0.0000 0.0000 [3 per cell]
In: 0.0000 0.0000 0.5000 [3 per cell]
Sb: 0.0000 0.0000 0.2406 [6 per cell]

Raw formation energy, eV/f.u.: -1.66
E, eV/atom: -4.187
Crystal system: trigonal
Magnetization, μB/atom: 0.00

Record 2
# Pm2Nd3Sm6Mg

A geometry-optimized Pm2Nd3Sm6Mg structure (PBE, Alexandria via LeMat-Bulk).

Cell lengths 6.264, 10.858, 11.981 Å; angles 90.00, 100.09, 90.00 degrees
Space group C2/m (No. 12)
Unique sites:
Pm: 0.000 0.167 0.000 [4 per cell]
Nd: 0.000 0.000 0.500 [2 per cell]
Nd: 0.000 0.333 0.500 [4 per cell]
Sm: 0.247 0.335 0.247 [8 per cell]
Sm: 0.249 0.500 0.752 [4 per cell]
Mg: 0.000 0.500 0.000 [2 per cell]

E, eV/atom: -4.456
Crystal system: monoclinic
Energy of formation from the pure elements, eV/atom: 0.0204
Magnetization, μB/atom: 0.00

Record 3
# LiHf3Ni

A geometry-optimized LiHf3Ni structure (PBE, Alexandria via LeMat-Bulk).

Cell lengths 4.853, 4.853, 4.853 Å; angles 90.00, 90.00, 90.00 degrees
Space group Pm-3m (No. 221)
Unique sites:
Li: 0.000 0.000 0.000 [1 per cell]
Hf: 0.000 0.500 0.500 [3 per cell]
Ni: 0.500 0.500 0.500 [1 per cell]

E, eV/atom: -7.095
Crystal system: cubic
Energy of formation from the pure elements, eV/atom: 0.4161
Magnetization, μB/atom: 0.30

Record 4
# PrP2PbO8

A geometry-optimized PrP2PbO8 structure (PBE, Alexandria via LeMat-Bulk).

Cell lengths 5.5035, 5.5035, 7.5747 Å; angles 90.00, 90.00, 120.00 degrees
Space group P-3m1 (No. 164)
Unique sites:
Pr: 0.0000 0.0000 0.0000 [1 per cell]
P: 0.3333 0.6667 0.2842 [2 per cell]
Pb: 0.0000 0.0000 0.5000 [1 per cell]
O: 0.1801 0.3601 0.2152 [6 per cell]
O: 0.3333 0.6667 0.4883 [2 per cell]

Raw formation energy, eV/f.u.: -26.87
E, eV/atom: -7.153
Crystal system: trigonal
Magnetization, μB/atom: 0.09